1.
The following is a PBE-GGA calculation of MgTlPb2 after structural relaxation, from Alexandria via LeMat-Bulk.

Results
mass density	9.3	g cm⁻³
space group	Pmmm
uncorrected energy	-2.844	eV per atom
N(E_F)	0.455	states/eV/atom

a = 4.7296 Å, b = 4.9267 Å, c = 4.9401 Å
α = 90.00°, β = 90.00°, γ = 90.00°
Fractional positions:
Mg  0.0000  0.0000  0.0000
Tl  0.5000  0.5000  0.0000
Pb  0.0000  0.5000  0.5000
Pb  0.5000  0.0000  0.5000

2.
The following is a PBE-GGA calculation of LaYZnTc after structural relaxation, from Alexandria via LeMat-Bulk.

Results
mass density	7.1	g cm⁻³
space group	F-43m
uncorrected energy	-5.825	eV per atom
N(E_F)	0.507	states/eV/atom

a = 7.1495 Å, b = 7.1495 Å, c = 7.1495 Å
α = 90.00°, β = 90.00°, γ = 90.00°
Fractional positions:
La  0.0000  0.0000  0.0000
La  0.0000  0.5000  0.5000
La  0.5000  0.0000  0.5000
La  0.5000  0.5000  0.0000
Y  0.0000  0.0000  0.5000
Y  0.0000  0.5000  0.0000
Y  0.5000  0.0000  0.0000
Y  0.5000  0.5000  0.5000
Zn  0.2500  0.2500  0.2500
Zn  0.2500  0.7500  0.7500
Zn  0.7500  0.2500  0.7500
Zn  0.7500  0.7500  0.2500
Tc  0.2500  0.2500  0.7500
Tc  0.2500  0.7500  0.2500
Tc  0.7500  0.2500  0.2500
Tc  0.7500  0.7500  0.7500

3.
The following is a PBE-GGA calculation of Ce3Y after structural relaxation, from Alexandria via LeMat-Bulk.

Results
mass density	6.8	g cm⁻³
energy above the lowest structure with this stoichiometry	74	kJ/mol of formula units
space group	Fm-3m
N(E_F)	4.016	states/eV/atom

a = 7.9266 Å, b = 7.9266 Å, c = 7.9266 Å
α = 90.00°, β = 90.00°, γ = 90.00°
Fractional positions:
Ce  0.0000  0.0000  0.0000
Ce  0.0000  0.5000  0.5000
Ce  0.2500  0.2500  0.2500
Ce  0.2500  0.2500  0.7500
Ce  0.2500  0.7500  0.2500
Ce  0.2500  0.7500  0.7500
Ce  0.5000  0.0000  0.5000
Ce  0.5000  0.5000  0.0000
Ce  0.7500  0.2500  0.2500
Ce  0.7500  0.2500  0.7500
Ce  0.7500  0.7500  0.2500
Ce  0.7500  0.7500  0.7500
Y  0.0000  0.0000  0.5000
Y  0.0000  0.5000  0.0000
Y  0.5000  0.0000  0.0000
Y  0.5000  0.5000  0.5000

4.
The following is a PBE-GGA calculation of KFeP2S after structural relaxation, from Alexandria via LeMat-Bulk.

Results
mass density	2.2	g cm⁻³
energy above the lowest structure with this stoichiometry	997	kJ/mol of formula units
space group	P4/mmm
formation energy (no corrections)	2.13	eV/atom
N(E_F)	1.822	states/eV/atom

a = 5.1964 Å, b = 5.1964 Å, c = 5.2199 Å
α = 90.00°, β = 90.00°, γ = 90.00°
Fractional positions:
K  0.0000  0.0000  0.0000
Fe  0.5000  0.5000  0.5000
P  0.0000  0.5000  0.0000
P  0.5000  0.0000  0.0000
S  0.0000  0.0000  0.5000

5.
The following is a PBE-GGA calculation of TaCu2Sb after structural relaxation, from Alexandria via LeMat-Bulk.

Results
mass density	10.7	g cm⁻³
space group	P4mm
formation energy (no corrections)	0.22	eV/atom
N(E_F)	0.543	states/eV/atom

a = 3.1231 Å, b = 3.1231 Å, c = 6.8406 Å
α = 90.00°, β = 90.00°, γ = 90.00°
Fractional positions:
Ta  0.0000  0.0000  0.0000
Cu  0.0000  0.0000  0.4091
Cu  0.5000  0.5000  0.2310
Sb  0.5000  0.5000  0.6913

6.
The following is a PBE-GGA calculation of KTlGeBr4 after structural relaxation, from Alexandria via LeMat-Bulk.

Results
mass density	4.2	g cm⁻³
space group	I4mm
formation energy (no corrections)	-0.97	eV/atom

a = 5.5106 Å, b = 5.5106 Å, c = 16.7060 Å
α = 90.00°, β = 90.00°, γ = 90.00°
Fractional positions:
K  0.0000  0.0000  0.0000
K  0.5000  0.5000  0.5000
Tl  0.0000  0.0000  0.7197
Tl  0.5000  0.5000  0.2197
Ge  0.0000  0.0000  0.3600
Ge  0.5000  0.5000  0.8600
Br  0.0000  0.0000  0.1964
Br  0.0000  0.0000  0.5331
Br  0.0000  0.5000  0.3644
Br  0.0000  0.5000  0.8644
Br  0.5000  0.0000  0.3644
Br  0.5000  0.0000  0.8644
Br  0.5000  0.5000  0.0331
Br  0.5000  0.5000  0.6964